Entry 1:
Entry from Alexandria: a relaxed RbTcO2 crystal (PBE).

Computed properties:
- Formation energy (no corrections): -23.30 kcal/mol of atoms
- Total magnetic moment: 0.000 μB per atom
- Energy above the most stable polymorph in this dataset: 0.0000 eV/atom

abc: 5.3083 5.3083 10.7880
angles: 90.00 90.00 90.00
Atoms (fractional coordinates):
Rb: 0.0000 0.0000 0.0000
Rb: 0.0000 0.5000 0.2500
Rb: 0.5000 0.0000 0.7500
Rb: 0.5000 0.5000 0.5000
Tc: 0.0000 0.0000 0.5000
Tc: 0.0000 0.5000 0.7500
Tc: 0.5000 0.0000 0.2500
Tc: 0.5000 0.5000 0.0000
O: 0.0828 0.2500 0.6250
O: 0.2500 0.5828 0.8750
O: 0.2500 0.9172 0.3750
O: 0.4172 0.2500 0.1250
O: 0.5828 0.7500 0.1250
O: 0.7500 0.0828 0.3750
O: 0.7500 0.4172 0.8750
O: 0.9172 0.7500 0.6250

Entry 2:
Entry from Alexandria: a relaxed LiPtSe4 crystal (PBE).

Computed properties:
- Formation energy (no corrections): 11.40 kcal/mol of atoms
- Total magnetic moment: 0.000 μB per atom

abc: 5.6385 5.6385 5.6385
angles: 60.00 60.00 60.00
Atoms (fractional coordinates):
Li: 0.0000 0.0000 0.0000
Pt: 0.7500 0.7500 0.7500
Se: 0.3765 0.3765 0.3765
Se: 0.3765 0.3765 0.8705
Se: 0.3765 0.8705 0.3765
Se: 0.8705 0.3765 0.3765